(1)
Material: BaOs2CSe
Method: DFT, SCAN
State: single point on PBEsol structure

Results
**E_form (uncorrected)**: 15.8 kcal/mol of atoms

abc: 4.0836 4.0836 5.6143
angles: 90.00 90.00 90.00
Last column: nearest neighbours and their distance in Å.
Space group P4/mmm (No. 123)
Unique sites:
Ba: 0.0000 0.0000 0.0000  2 C 2.81, 4 Se 2.89
Os: 0.0000 0.5000 0.5000  2 C 2.04
C: 0.0000 0.0000 0.5000  4 Os 2.04
Se: 0.5000 0.5000 0.0000  4 Ba 2.89

(2)
Material: BaPC2
Method: DFT, SCAN
State: single point on PBEsol structure

Results
**Formation enthalpy at 0 K**: 0.345 eV per atom

abc: 5.6305 5.6305 7.6081
angles: 90.00 90.00 90.00
Last column: nearest neighbours and their distance in Å.
Space group I-42d (No. 122)
Unique sites:
Ba: 0.0000 0.0000 0.0000  8 C 2.98-3.20
P: 0.0000 0.0000 0.5000  4 C 1.74
C: 0.0646 0.2500 0.6250  2 P 1.74

(3)
Material: BaPCS2
Method: DFT, SCAN
State: single point on PBEsol structure

Results
**E_form (uncorrected)**: 5.7 kcal/mol of atoms

abc: 4.9953 4.9953 3.7406
angles: 90.00 90.00 90.00
Last column: nearest neighbours and their distance in Å.
Space group P4/mmm (No. 123)
Unique sites:
Ba: 0.0000 0.0000 0.0000  8 S 3.12
P: 0.5000 0.5000 0.0000  2 C 1.87
C: 0.5000 0.5000 0.5000  2 P 1.87
S: 0.0000 0.5000 0.5000  2 C 2.50

(4)
Material: Ba2ZrPbC
Method: DFT, SCAN
State: single point on PBEsol structure

Results
**Formation enthalpy at 0 K**: 1.365 eV per atom

abc: 6.6516 6.6516 5.4820
angles: 90.00 90.00 90.00
Last column: nearest neighbours and their distance in Å.
Space group P4/mmm (No. 123)
Unique sites:
Ba: 0.0000 0.5000 0.0000  2 Pb 3.33
Zr: 0.0000 0.0000 0.5000  2 Pb 2.74
Pb: 0.0000 0.0000 0.0000  2 Zr 2.74
C: 0.5000 0.5000 0.5000  8 Ba 4.31, 4 Zr 4.70

(5)
Material: BaPdC2
Method: DFT, SCAN
State: single point on PBEsol structure

Results
**Formation enthalpy at 0 K**: 1.017 eV per atom

abc: 6.1544 6.1544 7.2590
angles: 90.00 90.00 90.00
Last column: nearest neighbours and their distance in Å.
Space group I-42d (No. 122)
Unique sites:
Ba: 0.0000 0.0000 0.0000  4 C 2.87
Pd: 0.0000 0.0000 0.5000  4 C 1.97
C: 0.1351 0.2500 0.6250  2 Pd 1.97

(6)
Material: BaPtC3
Method: DFT, SCAN
State: single point on PBEsol structure

Results
**Formation enthalpy at 0 K**: 4.198 eV per atom

abc: 4.4572 4.4572 4.4572
angles: 90.00 90.00 90.00
Last column: nearest neighbours and their distance in Å.
Space group Pm-3m (No. 221)
Unique sites:
Ba: 0.0000 0.0000 0.0000  6 C 2.23
Pt: 0.5000 0.5000 0.5000  12 C 3.15
C: 0.0000 0.0000 0.5000  2 Ba 2.23

Calculated values (states/eV/cell) of D(E_F) for the records, taken in order: 3.57 3.33 1.99 2.48 9.11 2.49.